Entry 1:
PBE La2Sn2Pb, relaxed; electronic total energy = -47.84 eV for the cell shown; N(E_F) = 11.1 states/eV per cell; formation enthalpy at 0 K = -227.0 kJ/mol of formula units
1.0
4.2010 0.0000 0.0000
0.0000 4.2010 0.0000
0.0000 0.0000 18.6465
La Sn Pb
4 4 2
Cartesian
0.0000 0.0000 1.9908
0.0000 0.0000 16.6556
2.1005 2.1005 7.3324
2.1005 2.1005 11.3141
0.0000 2.1005 4.6616
0.0000 2.1005 13.9849
2.1005 0.0000 4.6616
2.1005 0.0000 13.9849
0.0000 0.0000 9.3232
2.1005 2.1005 0.0000

Entry 2:
PBE Ca4N, relaxed; electronic total energy = -36.17 eV for the cell shown; N(E_F) = 8.1 states/eV per cell; offset from the most stable computed form = 0.0013 eV/atom; energy relative to the elements, uncorrected = -0.35 eV/atom
1.0
5.3801 -3.1794 0.0000
5.3801 3.1794 0.0000
-3.3220 0.0000 10.1656
Ca N
8 2
Cartesian
2.8972 1.1970 2.0091
2.8922 1.6159 5.9082
2.8850 1.6159 9.3401
6.2020 1.1970 3.0737
1.2362 -1.1970 7.0919
4.5532 -1.6159 0.8255
4.5460 -1.6159 4.2573
4.5410 -1.1970 8.1565
2.8886 0.1928 7.6242
4.5496 -0.1928 2.5414

Entry 3:
PBE BeMoAs2, relaxed; electronic total energy = -44.51 eV for the cell shown; N(E_F) = 6.2 states/eV per cell; formation enthalpy at 0 K = 154.3 kJ/mol of formula units
1.0
3.3041 0.0000 0.0000
0.0000 4.9877 0.0000
0.0000 0.0000 7.4953
Be Mo As
2 2 4
Cartesian
0.0000 0.0000 0.0000
1.6520 2.4938 0.0000
0.0000 0.0000 3.7477
1.6520 2.4938 3.7477
0.0000 2.4938 1.7444
0.0000 2.4938 5.7509
1.6520 0.0000 1.7444
1.6520 0.0000 5.7509

Entry 4:
PBE Ce4Fe, relaxed; electronic total energy = -61.16 eV for the cell shown; N(E_F) = 30.9 states/eV per cell; offset from the most stable computed form = 0.1679 eV/atom; formation enthalpy at 0 K = 156.0 kJ/mol of formula units
1.0
0.0000 5.0709 5.0709
5.0709 0.0000 5.0709
5.0709 5.0709 0.0000
Ce Fe
8 2
Cartesian
7.7297 4.9475 4.9475
2.4120 2.4120 2.4120
5.1943 5.1943 2.4120
5.1943 2.4120 5.1943
4.9475 7.7297 4.9475
4.9475 4.9475 7.7297
7.7297 7.7297 7.7297
2.4120 5.1943 5.1943
3.8032 3.8032 3.8032
6.3386 6.3386 6.3386

The highest N(E_F) belongs to which entry? Ce4Fe

Repeat the third record exactly.
PBE BeMoAs2, relaxed; electronic total energy = -44.51 eV for the cell shown; N(E_F) = 6.2 states/eV per cell; formation enthalpy at 0 K = 154.3 kJ/mol of formula units
1.0
3.3041 0.0000 0.0000
0.0000 4.9877 0.0000
0.0000 0.0000 7.4953
Be Mo As
2 2 4
Cartesian
0.0000 0.0000 0.0000
1.6520 2.4938 0.0000
0.0000 0.0000 3.7477
1.6520 2.4938 3.7477
0.0000 2.4938 1.7444
0.0000 2.4938 5.7509
1.6520 0.0000 1.7444
1.6520 0.0000 5.7509

Which value of N(E_F) does entry 4 give? 30.9 states/eV per cell

What is the electronic total energy in the first record? -47.84 eV for the cell shown